[1]
! YSc2 | Alexandria | PBE-GGA | optimized geometry; values from VASP
&SYSTEM
  ibrav = 0, nat = 6, ntyp = 2
/
ATOMIC_SPECIES
Y 88.91 Y.upf
Sc 44.96 Sc.upf
CELL_PARAMETERS angstrom
0.000 4.429 4.429
4.429 0.000 4.429
4.429 4.429 0.000
ATOMIC_POSITIONS angstrom
Y 2.215 2.215 2.215
Y 0.000 0.000 0.000
Sc 5.537 5.537 5.537
Sc 3.322 3.322 5.537
Sc 5.537 3.322 3.322
Sc 3.322 5.537 3.322
! - E above lowest polymorph: 175.7 meV/atom
! - Uncorrected energy: -6.177 eV per atom
! - ΔH_f (0 K): 0.1988 eV per atom

[2]
! BaSrCeO4 | Alexandria | PBE-GGA | optimized geometry; values from VASP
&SYSTEM
  ibrav = 0, nat = 7, ntyp = 4
/
ATOMIC_SPECIES
Sr 87.62 Sr.upf
O 16.00 O.upf
Ce 140.12 Ce.upf
Ba 137.33 Ba.upf
CELL_PARAMETERS angstrom
-4.331 0.684 -0.714
-0.312 -3.990 -1.930
0.918 -1.086 7.210
ATOMIC_POSITIONS angstrom
Sr -0.999 -1.949 4.191
O -1.541 -4.699 4.850
O -3.260 -3.484 2.615
O -0.486 -0.949 2.040
O -3.551 -2.363 5.458
Ce 0.000 -0.001 0.002
Ba -2.739 -2.468 0.431
! - Uncorrected energy: -7.139 eV per atom
! - ΔE_f (raw): -2943 meV/atom